Record 1
VASP calculation (PBE) on an optimized crystal structure of TbPm2Th.

Cell and atoms, written as CIF:
```
data_TbPm2Th
_chemical_formula_sum 'Tb4 Pm8 Th4'
_cell_length_a 8.112
_cell_length_b 8.112
_cell_length_c 8.112
_cell_angle_alpha 90.00
_cell_angle_beta 90.00
_cell_angle_gamma 90.00
_symmetry_space_group_name_H-M 'F m -3 m'
_symmetry_Int_Tables_number 225
_symmetry_space_group_name_Hall '-F 4 2 3'
loop_
_atom_site_label
_atom_site_type_symbol
_atom_site_fract_x
_atom_site_fract_y
_atom_site_fract_z
Tb1 Tb 0.000 0.000 0.000
Pm1 Pm 0.250 0.250 0.250
Th1 Th 0.000 0.000 0.500
```

Computed properties:
E in eV/atom: -5.188
Calculated formation energy in eV/atom: 0.20
Size of the total moment in μB per atom: 0.001
Offset from the most stable computed form in eV/f.u.: 0.78
V in Å³/cell: 533.81


Record 2
VASP calculation (PBE) on an optimized crystal structure of Tb15Pm2Th2.

Cell and atoms, written as CIF:
```
data_Tb15Pm2Th2
_chemical_formula_sum 'Tb45 Pm6 Th6'
_cell_length_a 11.1806
_cell_length_b 11.1806
_cell_length_c 17.7976
_cell_angle_alpha 90.00
_cell_angle_beta 90.00
_cell_angle_gamma 120.00
_symmetry_space_group_name_H-M 'R -3 m'
_symmetry_Int_Tables_number 166
_symmetry_space_group_name_Hall '-R 3 2"'
loop_
_atom_site_label
_atom_site_type_symbol
_atom_site_fract_x
_atom_site_fract_y
_atom_site_fract_z
Tb1 Tb 0.0000 0.2982 0.0000
Tb2 Tb 0.0000 0.5000 0.5000
Tb3 Tb 0.0120 0.5060 0.1362
Pm1 Pm 0.0000 0.0000 0.3205
Th1 Th 0.0000 0.0000 0.0869
```

Computed properties:
E in eV/atom: -4.655
Calculated formation energy in eV/atom: 0.28
Size of the total moment in μB per atom: 0.000
V in Å³/cell: 1926.74


Record 3
VASP calculation (PBE) on an optimized crystal structure of Tb6Pm12Th.

Cell and atoms, written as CIF:
```
data_Tb6Pm12Th
_chemical_formula_sum 'Tb18 Pm36 Th3'
_cell_length_a 13.3069
_cell_length_b 13.3069
_cell_length_c 12.8695
_cell_angle_alpha 90.00
_cell_angle_beta 90.00
_cell_angle_gamma 120.00
_symmetry_space_group_name_H-M 'R -3 m'
_symmetry_Int_Tables_number 166
_symmetry_space_group_name_Hall '-R 3 2"'
loop_
_atom_site_label
_atom_site_type_symbol
_atom_site_fract_x
_atom_site_fract_y
_atom_site_fract_z
Tb1 Tb 0.0880 0.1760 0.2723
Pm1 Pm 0.0000 0.2627 0.5000
Pm2 Pm 0.0568 0.5284 0.6134
Th1 Th 0.0000 0.0000 0.5000
```

Computed properties:
E in eV/atom: -4.727
Calculated formation energy in eV/atom: 0.13
Size of the total moment in μB per atom: 0.000
Offset from the most stable computed form in eV/f.u.: 0.00
V in Å³/cell: 1973.56


Record 4
VASP calculation (PBE) on an optimized crystal structure of TbPm3Th2.

Cell and atoms, written as CIF:
```
data_TbPm3Th2
_chemical_formula_sum 'Tb2 Pm6 Th4'
_cell_length_a 10.184
_cell_length_b 3.620
_cell_length_c 10.819
_cell_angle_alpha 90.00
_cell_angle_beta 90.23
_cell_angle_gamma 90.00
_symmetry_space_group_name_H-M 'P 1 21/m 1'
_symmetry_Int_Tables_number 11
loop_
_symmetry_equiv_pos_as_xyz
'x,y,z'
'-x,-y,-z'
'-x,y+1/2,-z'
'x,-y+1/2,z'
loop_
_atom_site_label
_atom_site_type_symbol
_atom_site_fract_x
_atom_site_fract_y
_atom_site_fract_z
Tb1 Tb 0.125 0.250 0.250
Pm1 Pm 0.133 0.250 0.583
Pm2 Pm 0.364 0.750 0.083
Pm3 Pm 0.376 0.750 0.750
Th1 Th 0.117 0.250 0.918
Th2 Th 0.379 0.750 0.418
```

Computed properties:
E in eV/atom: -5.580
Calculated formation energy in eV/atom: 0.04
Size of the total moment in μB per atom: 0.000
Offset from the most stable computed form in eV/f.u.: 0.00
V in Å³/cell: 398.86


Record 5
VASP calculation (PBE) on an optimized crystal structure of TbPm8Th2.

Cell and atoms, written as CIF:
```
data_TbPm8Th2
_chemical_formula_sum 'Tb2 Pm16 Th4'
_cell_length_a 9.095
_cell_length_b 16.479
_cell_length_c 6.041
_cell_angle_alpha 90.00
_cell_angle_beta 123.47
_cell_angle_gamma 90.00
_symmetry_space_group_name_H-M 'C 1 2/m 1'
_symmetry_Int_Tables_number 12
loop_
_symmetry_equiv_pos_as_xyz
'x,y,z'
'-x,-y,-z'
'-x,y,-z'
'x,-y,z'
'x+1/2,y+1/2,z'
'-x+1/2,-y+1/2,-z'
'-x+1/2,y+1/2,-z'
'x+1/2,-y+1/2,z'
loop_
_atom_site_label
_atom_site_type_symbol
_atom_site_fract_x
_atom_site_fract_y
_atom_site_fract_z
Tb1 Tb 0.000 0.000 0.000
Pm1 Pm 0.000 0.207 0.000
Pm2 Pm 0.079 0.500 0.793
Pm3 Pm 0.217 0.117 0.678
Th1 Th 0.000 0.307 0.500
```

Computed properties:
E in eV/atom: -5.030
Calculated formation energy in eV/atom: 0.19
Size of the total moment in μB per atom: 0.000
V in Å³/cell: 755.21


Record 6
VASP calculation (PBE) on an optimized crystal structure of Tb2Pm5Th4.

Cell and atoms, written as CIF:
```
data_Tb2Pm5Th4
_chemical_formula_sum 'Tb2 Pm5 Th4'
_cell_length_a 6.742
_cell_length_b 6.949
_cell_length_c 9.539
_cell_angle_alpha 69.07
_cell_angle_beta 76.37
_cell_angle_gamma 63.35
_symmetry_space_group_name_H-M 'P -1'
_symmetry_Int_Tables_number 2
loop_
_symmetry_equiv_pos_as_xyz
'x,y,z'
'-x,-y,-z'
loop_
_atom_site_label
_atom_site_type_symbol
_atom_site_fract_x
_atom_site_fract_y
_atom_site_fract_z
Tb1 Tb 0.067 0.043 0.244
Pm1 Pm 0.082 0.571 0.142
Pm2 Pm 0.389 0.969 0.874
Pm3 Pm 0.500 0.000 0.500
Th1 Th 0.220 0.560 0.520
Th2 Th 0.437 0.485 0.814
```

Computed properties:
E in eV/atom: -5.516
Calculated formation energy in eV/atom: 0.18
Size of the total moment in μB per atom: 0.000
V in Å³/cell: 371.55


Record 7
VASP calculation (PBE) on an optimized crystal structure of Tb2PmTh.

Cell and atoms, written as CIF:
```
data_Tb2PmTh
_chemical_formula_sum 'Tb4 Pm2 Th2'
_cell_length_a 3.541
_cell_length_b 6.856
_cell_length_c 11.183
_cell_angle_alpha 90.59
_cell_angle_beta 90.05
_cell_angle_gamma 104.89
_symmetry_space_group_name_H-M 'P -1'
_symmetry_Int_Tables_number 2
loop_
_symmetry_equiv_pos_as_xyz
'x,y,z'
'-x,-y,-z'
loop_
_atom_site_label
_atom_site_type_symbol
_atom_site_fract_x
_atom_site_fract_y
_atom_site_fract_z
Tb1 Tb 0.021 0.042 0.254
Tb2 Tb 0.244 0.487 0.744
Pm1 Pm 0.370 0.740 0.013
Th1 Th 0.372 0.747 0.488
```

Computed properties:
E in eV/atom: -5.317
Calculated formation energy in eV/atom: 0.04
Size of the total moment in μB per atom: 0.000
Offset from the most stable computed form in eV/f.u.: 0.12
V in Å³/cell: 262.35


Record 8
VASP calculation (PBE) on an optimized crystal structure of Tb2PmTh.

Cell and atoms, written as CIF:
```
data_Tb2PmTh
_chemical_formula_sum 'Tb2 Pm1 Th1'
_cell_length_a 3.587
_cell_length_b 3.587
_cell_length_c 10.160
_cell_angle_alpha 90.00
_cell_angle_beta 90.00
_cell_angle_gamma 90.00
_symmetry_space_group_name_H-M 'P 4/m m m'
_symmetry_Int_Tables_number 123
_symmetry_space_group_name_Hall '-P 4 2'
loop_
_atom_site_label
_atom_site_type_symbol
_atom_site_fract_x
_atom_site_fract_y
_atom_site_fract_z
Tb1 Tb 0.000 0.000 0.241
Pm1 Pm 0.500 0.500 0.500
Th1 Th 0.500 0.500 0.000
```

Computed properties:
E in eV/atom: -5.337
Calculated formation energy in eV/atom: 0.02
Size of the total moment in μB per atom: 0.000
Offset from the most stable computed form in eV/f.u.: 0.04
V in Å³/cell: 130.72


Record 9
VASP calculation (PBE) on an optimized crystal structure of Tb3Pm2Th3.

Cell and atoms, written as CIF:
```
data_Tb3Pm2Th3
_chemical_formula_sum 'Tb3 Pm2 Th3'
_cell_length_a 9.1390
_cell_length_b 9.1390
_cell_length_c 3.6438
_cell_angle_alpha 90.00
_cell_angle_beta 90.00
_cell_angle_gamma 120.00
_symmetry_space_group_name_H-M 'P -6 2 m'
_symmetry_Int_Tables_number 189
_symmetry_space_group_name_Hall 'P -6 -2'
loop_
_atom_site_label
_atom_site_type_symbol
_atom_site_fract_x
_atom_site_fract_y
_atom_site_fract_z
Tb1 Tb 0.0000 0.3947 0.0000
Pm1 Pm 0.3333 0.6667 0.5000
Th1 Th 0.0000 0.7753 0.5000
```

Computed properties:
E in eV/atom: -5.537
Calculated formation energy in eV/atom: 0.17
Size of the total moment in μB per atom: 0.000
V in Å³/cell: 263.59


Record 10
VASP calculation (PBE) on an optimized crystal structure of Tb6Pm8Th.

Cell and atoms, written as CIF:
```
data_Tb6Pm8Th
_chemical_formula_sum 'Tb18 Pm24 Th3'
_cell_length_a 9.1446
_cell_length_b 9.1446
_cell_length_c 20.9317
_cell_angle_alpha 90.00
_cell_angle_beta 90.00
_cell_angle_gamma 120.00
_symmetry_space_group_name_H-M 'R -3'
_symmetry_Int_Tables_number 148
_symmetry_space_group_name_Hall '-R 3'
loop_
_atom_site_label
_atom_site_type_symbol
_atom_site_fract_x
_atom_site_fract_y
_atom_site_fract_z
Tb1 Tb 0.0500 0.2447 0.2073
Pm1 Pm 0.0000 0.0000 0.0778
Pm2 Pm 0.0810 0.5589 0.3048
Th1 Th 0.0000 0.0000 0.5000
```

Computed properties:
E in eV/atom: -4.760
Calculated formation energy in eV/atom: 0.12
Size of the total moment in μB per atom: 0.000
V in Å³/cell: 1515.87